# 1
A relaxed SrReNO crystal, computed with PBE.

```
8
Lattice="-3.073 -2.077 -1.543 3.332 -4.116 -1.094 -1.053 -2.196 5.054" Properties=species:S:1:pos:R:3 pbc="T T T"
N 1.405 -2.606 0.710
N 0.876 -3.701 3.238
O 0.593 -5.416 0.882
O -1.913 -4.070 4.059
Re 1.907 -4.101 1.724
Re -0.152 -3.306 4.754
Sr -1.229 -3.160 1.473
Sr -0.087 -6.319 3.452
```

Its space group is Pmma, No. 51. As for the polymorph energy (0 for the lowest one): 0.048 eV/atom.

# 2
A relaxed SrNbAs crystal, computed with PBE.

```
3
Lattice="0.000 3.573 3.573 3.573 0.000 3.573 3.573 3.573 0.000" Properties=species:S:1:pos:R:3 pbc="T T T"
As 1.786 1.786 1.786
Nb 5.359 5.359 5.359
Sr 0.000 0.000 0.000
```

Its space group is F-43m, No. 216. As for the polymorph energy (0 for the lowest one): 0.830 eV/atom.

# 3
A relaxed DyHoTm2Cd2 crystal, computed with PBE.

```
6
Lattice="-3.558 3.561 1.834 6.384 4.430 3.786 6.238 5.960 0.531" Properties=species:S:1:pos:R:3 pbc="T T T"
Cd 0.870 0.716 0.297
Cd 9.978 11.458 4.938
Dy 5.178 4.262 1.771
Ho 5.665 7.908 3.463
Tm 1.682 4.630 2.101
Tm 9.157 7.537 3.132
```

Its space group is Amm2, No. 38. For the total energy, the calculation gives -21.3 eV/cell.

# 4
A relaxed GdErTh crystal, computed with PBE.

```
3
Lattice="0.000 3.825 3.825 3.825 0.000 3.825 3.825 3.825 0.000" Properties=species:S:1:pos:R:3 pbc="T T T"
Er 0.000 0.000 0.000
Gd 1.913 1.913 1.913
Th 5.738 5.738 5.738
```

Its space group is F-43m, No. 216. As for the polymorph energy (0 for the lowest one): 0.000 eV/atom.

# 5
A relaxed Zr3Nb crystal, computed with PBE.

```
8
Lattice="5.441 -3.142 0.000 0.000 6.283 0.000 0.000 0.000 5.167" Properties=species:S:1:pos:R:3 pbc="T T T"
Nb 0.000 0.000 0.000
Nb 1.814 3.141 2.583
Zr 2.700 1.606 0.000
Zr 0.041 3.141 0.000
Zr 2.700 4.677 0.000
Zr 1.773 0.000 2.583
Zr 4.555 -1.606 2.583
Zr 4.555 1.606 2.583
```

Its space group is P6_3/mmc, No. 194. For the total energy, the calculation gives -70.4 eV/cell.

# 6
A relaxed ErPPbO crystal, computed with PBE.

```
8
Lattice="4.689 0.000 0.000 0.000 6.914 0.000 0.000 0.000 6.269" Properties=species:S:1:pos:R:3 pbc="T T T"
Er 0.000 5.940 0.186
Er 0.000 0.974 3.321
O 0.000 6.050 2.305
O 0.000 0.864 5.440
P 2.345 2.070 2.557
P 2.345 4.844 5.691
Pb 2.345 4.853 2.814
Pb 2.345 2.061 5.949
```

Its space group is Pmc2_1, No. 26. As for the polymorph energy (0 for the lowest one): 0.067 eV/atom.

no.,mass density (g cm⁻³)
1,8.280
2,4.650
3,9.064
4,8.256
5,6.893
6,6.886